(1)
LiTaPb3 | PBEsol | optimized geometry

For the formation energy from the elements, the calculation gives 0.4375 eV per atom. The total energy is -24.3 eV/cell.

The structure belongs to space group Pm-3m (No. 221); the cell edges are 5.468, 5.468 and 5.468 Å and the angles 90.00°, 90.00° and 90.00°. The distinct sites, in fractional coordinates, are Li at (0.000, 0.000, 0.000), Ta at (0.500, 0.500, 0.500) and Pb at (0.000, 0.500, 0.500).

---

(2)
LiTcPb | PBEsol | optimized geometry

For the formation energy from the elements, the calculation gives 0.5903 eV per atom. The total energy is -15.5 eV/cell.

The structure belongs to space group P3m1 (No. 156); the cell edges are 3.0650, 3.0650 and 6.8525 Å and the angles 90.00°, 90.00° and 120.00°. The distinct sites, in fractional coordinates, are Li at (0.0000, 0.0000, 0.0000), Tc at (0.6667, 0.3333, 0.3110) and Pb at (0.3333, 0.6667, 0.6299).

---

(3)
LiZrTcPb2 | PBEsol | optimized geometry

For the formation energy from the elements, the calculation gives 0.8800 eV per atom. The total energy is -25.9 eV/cell.

The structure belongs to space group P4/mmm (No. 123); the cell edges are 5.669, 5.669 and 4.695 Å and the angles 90.00°, 90.00° and 90.00°. The distinct sites, in fractional coordinates, are Li at (0.000, 0.000, 0.000), Zr at (0.500, 0.500, 0.500), Tc at (0.500, 0.500, 0.000) and Pb at (0.000, 0.500, 0.500).

---

(4)
Li2Te2Pb | PBEsol | optimized geometry

As for the formation energy (no corrections): -0.577 eV/atom. The polymorph energy (0 for the lowest one) comes out at 30.5 meV per atom. The total energy is -35.7 eV/cell.

The structure belongs to space group P4/mbm (No. 127); the cell edges are 8.588, 8.588 and 3.396 Å and the angles 90.00°, 90.00° and 90.00°. The distinct sites, in fractional coordinates, are Li at (0.130, 0.370, 0.000), Te at (0.167, 0.667, 0.500) and Pb at (0.000, 0.000, 0.500).